Entry from Alexandria via LeMat-Bulk: a relaxed structure of LaHN2 (GGA-PBE).

Cell and atoms, written as CIF:
```
data_LaHN2
_chemical_formula_sum 'La2 H2 N4'
_cell_length_a 3.9440
_cell_length_b 3.9440
_cell_length_c 6.3353
_cell_angle_alpha 71.86
_cell_angle_beta 71.86
_cell_angle_gamma 90.00
_space_group_name_H-M_alt 'P 1'
_space_group_IT_number 1
_space_group_name_Hall 'P 1'
loop_
_atom_site_label
_atom_site_fract_x
_atom_site_fract_y
_atom_site_fract_z
H1 0.5000 0.5000 0.0000
H2 0.2500 0.7500 0.5000
N1 0.3934 0.1250 0.2500
N2 0.3566 0.6250 0.2500
N3 0.3750 0.6066 0.7500
N4 0.8750 0.6434 0.7500
La1 0.0000 0.0000 0.0000
La2 0.7500 0.2500 0.5000
```

Computed properties:
* mass density: 6.30 Mg/m³
* offset from the most stable computed form: 0.268 eV per atom
* total magnetization: 0.00 μB/f.u.
* E_tot: -5.977 eV per atom

***

Entry from Alexandria via LeMat-Bulk: a relaxed structure of Cd3Se4 (GGA-PBE).

Cell and atoms, written as CIF:
```
data_Cd3Se4
_chemical_formula_sum 'Cd3 Se4'
_cell_length_a 12.3353
_cell_length_b 12.3353
_cell_length_c 12.3353
_cell_angle_alpha 161.77
_cell_angle_beta 161.77
_cell_angle_gamma 25.90
_space_group_name_H-M_alt 'P 1'
_space_group_IT_number 1
_space_group_name_Hall 'P 1'
loop_
_atom_site_label
_atom_site_fract_x
_atom_site_fract_y
_atom_site_fract_z
Cd1 0.0000 0.0000 0.0000
Cd2 0.2974 0.2974 0.0000
Cd3 0.7026 0.7026 0.0000
Se1 0.1809 0.1809 0.0000
Se2 0.8191 0.8191 0.0000
Se3 0.4486 0.4486 0.0000
Se4 0.5514 0.5514 0.0000
```

Computed properties:
* mass density: 5.90 Mg/m³
* offset from the most stable computed form: 0.163 eV per atom
* total magnetization: 0.00 μB/f.u.
* ΔE_f (raw): -0.20 eV/atom
* E_tot: -2.584 eV per atom

***

Entry from Alexandria via LeMat-Bulk: a relaxed structure of CePmPCl (GGA-PBE).

Cell and atoms, written as CIF:
```
data_CePmPCl
_chemical_formula_sum 'Ce1 Pm1 P1 Cl1'
_cell_length_a 3.9904
_cell_length_b 3.9907
_cell_length_c 7.6735
_cell_angle_alpha 90.01
_cell_angle_beta 105.07
_cell_angle_gamma 120.00
_space_group_name_H-M_alt 'P 1'
_space_group_IT_number 1
_space_group_name_Hall 'P 1'
loop_
_atom_site_label
_atom_site_fract_x
_atom_site_fract_y
_atom_site_fract_z
Ce1 0.1136 0.9547 0.0835
Pm1 0.4923 0.1440 0.6516
P1 0.3034 0.5496 0.8684
Cl1 0.9687 0.3824 0.3661
```

Computed properties:
* mass density: 5.78 Mg/m³
* total magnetization: 1.00 μB/f.u.
* ΔE_f (raw): -1.53 eV/atom
* E_tot: -6.015 eV per atom

***

Entry from Alexandria via LeMat-Bulk: a relaxed structure of TaIn2Os (GGA-PBE).

Cell and atoms, written as CIF:
```
data_TaIn2Os
_chemical_formula_sum 'Ta1 In2 Os1'
_cell_length_a 3.1154
_cell_length_b 3.1154
_cell_length_c 8.3273
_cell_angle_alpha 90.00
_cell_angle_beta 90.00
_cell_angle_gamma 90.00
_space_group_name_H-M_alt 'P 1'
_space_group_IT_number 1
_space_group_name_Hall 'P 1'
loop_
_atom_site_label
_atom_site_fract_x
_atom_site_fract_y
_atom_site_fract_z
In1 0.0000 0.0000 0.9660
In2 0.5000 0.5000 0.2952
Os1 0.0000 0.0000 0.5307
Ta1 0.5000 0.5000 0.7080
```

Computed properties:
* mass density: 12.34 Mg/m³
* offset from the most stable computed form: 0.075 eV per atom
* energy relative to the elements: 0.1108 eV per atom
* total magnetization: 0.00 μB/f.u.
* E_tot: -7.029 eV per atom

***

- Which formula does entry 1 have?
  LaHN2

***

- Among the records above, which one has the highest mass density?
  TaIn2Os

***

What did the third record say?
Entry from Alexandria via LeMat-Bulk: a relaxed structure of CePmPCl (GGA-PBE).

Cell and atoms, written as CIF:
```
data_CePmPCl
_chemical_formula_sum 'Ce1 Pm1 P1 Cl1'
_cell_length_a 3.9904
_cell_length_b 3.9907
_cell_length_c 7.6735
_cell_angle_alpha 90.01
_cell_angle_beta 105.07
_cell_angle_gamma 120.00
_space_group_name_H-M_alt 'P 1'
_space_group_IT_number 1
_space_group_name_Hall 'P 1'
loop_
_atom_site_label
_atom_site_fract_x
_atom_site_fract_y
_atom_site_fract_z
Ce1 0.1136 0.9547 0.0835
Pm1 0.4923 0.1440 0.6516
P1 0.3034 0.5496 0.8684
Cl1 0.9687 0.3824 0.3661
```

Computed properties:
* mass density: 5.78 Mg/m³
* total magnetization: 1.00 μB/f.u.
* ΔE_f (raw): -1.53 eV/atom
* E_tot: -6.015 eV per atom